(1)
ZnCd2Se | PBE | relaxed

a = 3.774 Å, b = 5.804 Å, c = 8.427 Å
α = 90.00°, β = 90.00°, γ = 90.00°
Fractional coordinates of all 8 atoms:
Zn 0.000 0.000 0.000
Zn 0.500 0.500 0.500
Cd 0.000 0.500 0.252
Cd 0.000 0.500 0.748
Cd 0.500 0.000 0.248
Cd 0.500 0.000 0.752
Se 0.000 0.000 0.500
Se 0.500 0.500 0.000

Calculated density (g/cm³): 6.6
Crystal system: orthorhombic
Spin magnetization (μB per cell): 0.00
D(E_F) (states/eV per atom): 0.3331
Uncorrected formation energy (eV per atom): 0.031
Energy above the most stable polymorph in this dataset (eV/atom): 0.169
Volume (Å³ per cell): 185

(2)
Tb2Pm8Tm3 | PBE | relaxed

a = 10.872 Å, b = 10.872 Å, c = 5.667 Å
α = 90.00°, β = 90.00°, γ = 138.49°
Fractional coordinates of all 13 atoms:
Tb 0.239 0.761 0.000
Tb 0.761 0.239 0.000
Pm 0.130 0.870 0.500
Pm 0.190 0.401 0.000
Pm 0.328 0.672 0.500
Pm 0.401 0.190 0.000
Pm 0.599 0.810 0.000
Pm 0.672 0.328 0.500
Pm 0.810 0.599 0.000
Pm 0.870 0.130 0.500
Tm 0.000 0.000 0.000
Tm 0.287 0.287 0.500
Tm 0.713 0.713 0.500

ΔE_f (meV/atom): 206
Calculated density (g/cm³): 7.4
Crystal system: orthorhombic
Spin magnetization (μB per cell): 0.00
D(E_F) (states/eV per atom): 1.4500
Energy above the most stable polymorph in this dataset (eV/atom): 0.189
Volume (Å³ per cell): 444

(3)
Li2SiSbAu | PBE | relaxed

a = 4.830 Å, b = 4.830 Å, c = 4.668 Å
α = 90.00°, β = 90.00°, γ = 90.00°
Fractional coordinates of all 5 atoms:
Li 0.000 0.500 0.000
Li 0.500 0.000 0.000
Si 0.000 0.000 0.500
Sb 0.500 0.500 0.500
Au 0.000 0.000 0.000

Calculated density (g/cm³): 5.5
Crystal system: tetragonal
Spin magnetization (μB per cell): 0.00
D(E_F) (states/eV per atom): 0.1723
Uncorrected formation energy (eV per atom): -0.044
Volume (Å³ per cell): 109

(4)
Rb3AcEr2Se6 | PBE | relaxed

a = 7.526 Å, b = 7.526 Å, c = 8.410 Å
α = 98.62°, β = 98.62°, γ = 120.01°
Fractional coordinates of all 12 atoms:
Rb 0.000 0.000 0.000
Rb 0.336 0.664 0.000
Rb 0.664 0.336 0.000
Ac 0.500 0.500 0.500
Er 0.167 0.833 0.500
Er 0.833 0.167 0.500
Se 0.080 0.434 0.302
Se 0.212 0.212 0.697
Se 0.434 0.080 0.302
Se 0.566 0.920 0.698
Se 0.788 0.788 0.303
Se 0.920 0.566 0.698

Calculated density (g/cm³): 5.5
Crystal system: monoclinic
Spin magnetization (μB per cell): 0.00
D(E_F) (states/eV per atom): 0.0000
Uncorrected formation energy (eV per atom): -1.742
Volume (Å³ per cell): 393

(5)
BaBiS3 | PBE | relaxed

a = 9.551 Å, b = 9.551 Å, c = 7.190 Å
α = 98.36°, β = 98.36°, γ = 77.40°
Fractional coordinates of all 20 atoms:
Ba 0.107 0.358 0.250
Ba 0.358 0.107 0.750
Ba 0.642 0.893 0.250
Ba 0.893 0.642 0.750
Bi 0.242 0.758 0.250
Bi 0.414 0.586 0.750
Bi 0.586 0.414 0.250
Bi 0.758 0.242 0.750
S 0.038 0.287 0.809
S 0.161 0.634 0.536
S 0.287 0.038 0.309
S 0.321 0.469 0.035
S 0.366 0.839 0.964
S 0.469 0.321 0.535
S 0.531 0.679 0.465
S 0.634 0.161 0.036
S 0.679 0.531 0.965
S 0.713 0.962 0.691
S 0.839 0.366 0.464
S 0.962 0.713 0.191

Calculated density (g/cm³): 4.7
Crystal system: monoclinic
Spin magnetization (μB per cell): 0.00
D(E_F) (states/eV per atom): 0.2294
Uncorrected formation energy (eV per atom): -0.843
Energy above the most stable polymorph in this dataset (eV/atom): 0.000
Volume (Å³ per cell): 629

(6)
AlTeMoP2 | PBE | relaxed

a = 5.135 Å, b = 5.135 Å, c = 5.004 Å
α = 90.00°, β = 90.00°, γ = 90.00°
Fractional coordinates of all 5 atoms:
Al 0.000 0.000 0.000
Te 0.000 0.000 0.500
Mo 0.500 0.500 0.000
P 0.000 0.500 0.500
P 0.500 0.000 0.500

Calculated density (g/cm³): 3.9
Crystal system: tetragonal
Spin magnetization (μB per cell): 3.96
D(E_F) (states/eV per atom): 0.6397
Uncorrected formation energy (eV per atom): 1.662
Volume (Å³ per cell): 132